First-principles (SCAN) data for a crystal of TaCo2As relaxed with PBEsol, as listed in Alexandria via LeMat-Bulk. Values from VASP.

Values from the calculation:
Calculated formation energy (kJ/mol of formula units): 0
Volume (A^3/atom): 12.754
Spin magnetization (μB/f.u.): 0.001
DFT total energy (eV per cell): -121.383

Structure (Quantum ESPRESSO input):
```
&SYSTEM
  ibrav = 0, nat = 4, ntyp = 3
/
ATOMIC_SPECIES
Ta 180.95 Ta.upf
Co 58.93 Co.upf
As 74.92 As.upf
ATOMIC_POSITIONS crystal
Ta 0.0000 0.0000 0.0000
Co 0.2500 0.7500 0.5000
Co 0.5000 0.5000 0.0000
As 0.7500 0.2500 0.5000
CELL_PARAMETERS angstrom
-1.8167 1.8167 3.8642
1.8167 -1.8167 3.8642
1.8167 1.8167 -3.8642
```